Entry 1:
VASP calculation (SCAN) on a crystal of TiRhOF2 relaxed with PBEsol.

Structure (CIF):
```
data_TiRhOF2
_chemical_formula_sum 'Ti1 Rh1 O1 F2'
_space_group_name_H-M_alt 'P 4/m m m'
_space_group_IT_number 123
_space_group_name_Hall '-P 4 2'
_cell_length_a 4.152
_cell_length_b 4.152
_cell_length_c 3.835
_cell_angle_alpha 90.00
_cell_angle_beta 90.00
_cell_angle_gamma 90.00
loop_
_atom_site_label
_atom_site_type_symbol
_atom_site_fract_x
_atom_site_fract_y
_atom_site_fract_z
Ti1 Ti 0.000 0.000 0.000
Rh1 Rh 0.500 0.500 0.500
O1 O 0.500 0.500 0.000
F1 F 0.000 0.500 0.500
```

Summary:
Energy relative to the elements, uncorrected: -1.031 eV per atom
Calculated density: 5.143 g/cm³
E_tot: -68.265 eV per cell

Entry 2:
VASP calculation (SCAN) on a crystal of RuOF4 relaxed with PBEsol.

Structure (CIF):
```
data_RuOF4
_chemical_formula_sum 'Ru4 O4 F16'
_space_group_name_H-M_alt 'P 1 21/c 1'
_space_group_IT_number 14
_cell_length_a 6.197
_cell_length_b 8.538
_cell_length_c 8.779
_cell_angle_alpha 90.00
_cell_angle_beta 133.81
_cell_angle_gamma 90.00
loop_
_space_group_symop_operation_xyz
'x,y,z'
'-x,-y,-z'
'-x,y+1/2,-z+1/2'
'x,-y+1/2,z+1/2'
loop_
_atom_site_label
_atom_site_type_symbol
_atom_site_fract_x
_atom_site_fract_y
_atom_site_fract_z
Ru1 Ru 0.188 0.179 0.144
O1 O 0.168 0.132 0.632
F1 F 0.008 0.118 0.237
F2 F 0.169 0.608 0.626
F3 F 0.382 0.122 0.062
F4 F 0.459 0.625 0.089
```

Summary:
Energy relative to the elements, uncorrected: -1.513 eV per atom
Calculated density: 3.826 g/cm³
E_tot: -257.181 eV per cell

Entry 3:
VASP calculation (SCAN) on a crystal of RuO2F2 relaxed with PBEsol.

Structure (CIF):
```
data_RuO2F2
_chemical_formula_sum 'Ru1 O2 F2'
_space_group_name_H-M_alt 'P 4/m m m'
_space_group_IT_number 123
_space_group_name_Hall '-P 4 2'
_cell_length_a 3.855
_cell_length_b 3.855
_cell_length_c 3.471
_cell_angle_alpha 90.00
_cell_angle_beta 90.00
_cell_angle_gamma 90.00
loop_
_atom_site_label
_atom_site_type_symbol
_atom_site_fract_x
_atom_site_fract_y
_atom_site_fract_z
Ru1 Ru 0.000 0.000 0.000
O1 O 0.500 0.500 0.000
O2 O 0.500 0.500 0.500
F1 F 0.000 0.500 0.500
```

Summary:
Energy relative to the elements, uncorrected: 0.621 eV per atom
Calculated density: 5.508 g/cm³
E_tot: -51.266 eV per cell

- What is the formula in the second record?
  RuOF4

Repeat the second record exactly.
VASP calculation (SCAN) on a crystal of RuOF4 relaxed with PBEsol.

Structure (CIF):
```
data_RuOF4
_chemical_formula_sum 'Ru4 O4 F16'
_space_group_name_H-M_alt 'P 1 21/c 1'
_space_group_IT_number 14
_cell_length_a 6.197
_cell_length_b 8.538
_cell_length_c 8.779
_cell_angle_alpha 90.00
_cell_angle_beta 133.81
_cell_angle_gamma 90.00
loop_
_space_group_symop_operation_xyz
'x,y,z'
'-x,-y,-z'
'-x,y+1/2,-z+1/2'
'x,-y+1/2,z+1/2'
loop_
_atom_site_label
_atom_site_type_symbol
_atom_site_fract_x
_atom_site_fract_y
_atom_site_fract_z
Ru1 Ru 0.188 0.179 0.144
O1 O 0.168 0.132 0.632
F1 F 0.008 0.118 0.237
F2 F 0.169 0.608 0.626
F3 F 0.382 0.122 0.062
F4 F 0.459 0.625 0.089
```

Summary:
Energy relative to the elements, uncorrected: -1.513 eV per atom
Calculated density: 3.826 g/cm³
E_tot: -257.181 eV per cell

- Which value of calculated density does entry 1 give?
  5.143 g/cm³

- Look up the energy relative to the elements, uncorrected of the second one.
  -1.513 eV per atom